# Cr4CoHg

An optimized crystal structure of Cr4CoHg (PBE, Alexandria).

```
data_Cr4CoHg
_chemical_formula_sum 'Cr16 Co4 Hg4'
_cell_length_a 6.7842
_cell_length_b 6.7842
_cell_length_c 6.7842
_cell_angle_alpha 90.00
_cell_angle_beta 90.00
_cell_angle_gamma 90.00
_symmetry_space_group_name_H-M 'F -4 3 m'
_symmetry_Int_Tables_number 216
_symmetry_space_group_name_Hall 'F -4 2 3'
loop_
_atom_site_label
_atom_site_type_symbol
_atom_site_fract_x
_atom_site_fract_y
_atom_site_fract_z
_atom_site_occupancy
Cr1 Cr 0.1252 0.1252 0.1252 1
Co1 Co 0.2500 0.2500 0.7500 1
Hg1 Hg 0.0000 0.0000 0.5000 1
```

The calculation puts the formation energy at 475 meV/atom.



# CrCo2Hg

An optimized crystal structure of CrCo2Hg (PBE, Alexandria).

```
data_CrCo2Hg
_chemical_formula_sum 'Cr2 Co4 Hg2'
_cell_length_a 8.6813
_cell_length_b 2.7892
_cell_length_c 4.6497
_cell_angle_alpha 90.00
_cell_angle_beta 101.87
_cell_angle_gamma 90.00
_symmetry_space_group_name_H-M 'C 1 m 1'
_symmetry_Int_Tables_number 8
loop_
_symmetry_equiv_pos_as_xyz
'x,y,z'
'x,-y,z'
'x+1/2,y+1/2,z'
'x+1/2,-y+1/2,z'
loop_
_atom_site_label
_atom_site_type_symbol
_atom_site_fract_x
_atom_site_fract_y
_atom_site_fract_z
_atom_site_occupancy
Cr1 Cr 0.0000 0.0000 0.0000 1
Co1 Co 0.2411 0.5000 0.1921 1
Co2 Co 0.4776 0.0000 0.3984 1
Hg1 Hg 0.2365 0.0000 0.6854 1
```

The calculation puts the formation energy at 496 meV/atom.



Number 1: N(E_F) 7.32 states/eV/f.u.. Number 2: N(E_F) 4.99 states/eV/f.u..